# 1
Material: BaSb4P
Method: DFT, PBE
State: relaxed

extended XYZ file:
```
6
Lattice="0.9402 4.0047 4.7856 -4.1236 0.2390 4.7710 1.6225 -2.2039 5.6863" Properties=species:S:1:pos:R:3 pbc="T T T"
Ba -1.1706 1.5299 11.4322
Sb -0.1049 2.7943 8.1164
Sb 0.2415 -0.3580 8.5737
Sb -2.6760 0.8823 8.1090
Sb -0.5823 0.7610 5.6867
P 0.0000 0.0000 0.0000
```

**Crystal system**: cubic

# 2
Material: Dy4Tl5Hg2
Method: DFT, PBE
State: relaxed

extended XYZ file:
```
11
Lattice="-0.5379 -3.0112 -1.9670 6.0196 2.3865 -5.2994 6.5549 -4.8099 5.5710" Properties=species:S:1:pos:R:3 pbc="T T T"
Dy 8.2894 -2.5774 -1.6830
Dy 6.6980 -5.1375 2.6715
Dy 3.7472 -2.8572 -0.0125
Dy 5.3386 -0.2971 -4.3669
Tl 5.4915 -0.3358 -0.9875
Tl 1.6326 -0.2859 -0.0088
Tl 3.0098 1.1932 -2.6497
Tl 10.9418 -2.1375 0.2803
Tl 7.0829 -2.0876 1.2591
Hg 4.6499 -2.8194 3.0447
Hg 7.9245 0.3960 -2.7731
```

**Calculated formation energy**: -296.5 meV per atom
**Crystal system**: monoclinic

# 3
Material: Ta2FeGeH
Method: DFT, PBE
State: relaxed

extended XYZ file:
```
5
Lattice="-1.7066 3.3679 -1.6254 -1.9724 0.7073 3.5365 2.9322 2.0748 1.2203" Properties=species:S:1:pos:R:3 pbc="T T T"
H 0.0000 0.0000 0.0000
Ge -0.3734 3.0750 1.5657
Fe 1.4661 1.0374 0.6102
Ta -0.9862 0.3537 1.7682
Ta -0.8533 1.6839 -0.8127
```

**Crystal system**: tetragonal

# 4
Material: Tl2PbBr2
Method: DFT, PBE
State: relaxed

extended XYZ file:
```
10
Lattice="-7.9323 2.0119 1.9558 -2.5596 -2.7863 -7.5152 -0.6667 -4.4550 1.8788" Properties=species:S:1:pos:R:3 pbc="T T T"
Pb 0.0000 0.0000 0.0000
Pb -5.2460 -0.3872 -2.7797
Tl -3.3247 -3.7470 -3.7251
Tl -7.7356 -3.2252 -4.0530
Tl -7.8340 -1.4824 0.0444
Tl -3.4231 -2.0042 0.3723
Br -4.8761 -1.6586 -5.6632
Br -8.3674 -0.1357 -3.2910
Br -5.6158 0.8842 0.1038
Br -2.1246 -0.6387 -2.2685
```

**ΔE to the lowest computed polymorph**: 0 meV per atom
**Crystal system**: tetragonal

# 5
Material: Ce2ZnIn
Method: DFT, PBE
State: relaxed

extended XYZ file:
```
4
Lattice="-0.5491 4.5753 0.4095 2.0306 -0.3810 6.9818 4.3790 0.0915 4.8512" Properties=species:S:1:pos:R:3 pbc="T T T"
Ce 3.3024 2.6095 7.2886
Ce 1.4125 2.5699 5.1947
Zn 3.8063 0.5383 4.9716
In 1.6168 0.4925 2.5462
```

**Calculated formation energy**: -295.4 meV per atom
**Crystal system**: orthorhombic

# 6
Material: BeNb2Os
Method: DFT, PBE
State: relaxed

extended XYZ file:
```
8
Lattice="7.0287 0.0000 0.0000 0.0000 7.0287 0.0000 3.5143 3.5143 2.5545" Properties=species:S:1:pos:R:3 pbc="T T T"
Be 3.5143 3.5143 0.0000
Be 3.5143 7.0287 1.2772
Nb 5.1049 1.7572 0.6386
Nb 1.9237 5.2715 0.6386
Nb 5.2715 5.4381 1.9159
Nb 8.7858 8.6193 1.9159
Os 0.0000 0.0000 0.0000
Os 7.0287 3.5143 1.2772
```

**Calculated formation energy**: 534.0 meV per atom
**Crystal system**: tetragonal

# 7
Material: KGeW3
Method: DFT, PBE
State: relaxed

extended XYZ file:
```
5
Lattice="4.7904 0.0000 0.0000 0.0000 4.7904 0.0000 0.0000 0.0000 4.7904" Properties=species:S:1:pos:R:3 pbc="T T T"
Ge 0.0000 0.0000 0.0000
K 2.3952 2.3952 2.3952
W 0.0000 2.3952 0.0000
W 0.0000 0.0000 2.3952
W 2.3952 0.0000 0.0000
```

**Calculated formation energy**: 2120.7 meV per atom
**ΔE to the lowest computed polymorph**: 0 meV per atom
**Crystal system**: cubic

# 8
Material: SrBeAg2
Method: DFT, PBE
State: relaxed

extended XYZ file:
```
4
Lattice="3.4696 0.0000 0.0000 0.0000 3.4730 0.0000 0.0000 0.0000 7.0045" Properties=species:S:1:pos:R:3 pbc="T T T"
Sr 1.7348 1.7365 5.1969
Ag 0.0000 0.0000 0.4019
Ag 1.7348 1.7365 2.0532
Be 0.0000 0.0000 2.8548
```

**Calculated formation energy**: 147.8 meV per atom
**Crystal system**: tetragonal

# 9
Material: ZrTl2Pt
Method: DFT, PBE
State: relaxed

extended XYZ file:
```
4
Lattice="-2.9160 0.8338 -4.6472 0.6289 -5.3240 1.4334 -2.6399 0.1410 1.6817" Properties=species:S:1:pos:R:3 pbc="T T T"
Pt -1.0055 -2.5915 1.5576
Tl 0.0000 0.0000 0.0000
Tl -1.1436 -2.2451 -1.6069
Zr -2.7779 0.4874 -1.4828
```

**Calculated formation energy**: 47.7 meV per atom
**ΔE to the lowest computed polymorph**: 328 meV per atom
**Crystal system**: orthorhombic

# 10
Material: Hg2Ir2Pd
Method: DFT, PBE
State: relaxed

extended XYZ file:
```
10
Lattice="-0.3606 4.1630 5.2130 -0.4365 -5.2241 4.1417 4.1795 -0.0735 0.3478" Properties=species:S:1:pos:R:3 pbc="T T T"
Ir -0.5146 -3.0065 5.5484
Ir -0.5886 0.3470 7.1464
Ir -0.2825 1.9454 3.8063
Ir -0.2085 -1.4081 2.2082
Hg 1.7296 -2.8377 3.9103
Hg 1.4864 -1.5081 7.1128
Hg 1.6528 1.7031 5.7922
Hg 1.8959 0.3734 2.5896
Pd 0.0000 0.0000 0.0000
Pd -0.3985 -0.5306 4.6773
```

**Calculated formation energy**: 472.3 meV per atom
**Crystal system**: tetragonal

# 11
Material: Nd4AgCI2
Method: DFT, PBE
State: relaxed

extended XYZ file:
```
8
Lattice="4.0230 0.0000 0.0000 0.0000 7.6818 0.3009 0.0000 -2.5434 7.6032" Properties=species:S:1:pos:R:3 pbc="T T T"
Nd 2.0115 1.7144 1.5303
Nd 2.0115 3.4240 6.3739
Nd 0.0000 0.2791 6.3494
Nd 0.0000 4.8593 1.5547
Ag 0.0000 0.0000 0.0000
C 2.0115 3.8409 0.1505
I 2.0115 -1.2717 3.8016
I 0.0000 2.5692 3.9521
```

**Crystal system**: monoclinic

# 12
Material: Nd3Sb5S12
Method: DFT, PBE
State: relaxed

extended XYZ file:
```
80
Lattice="14.1486 0.0000 0.0000 -4.7162 13.3394 0.0000 -4.7162 -6.6697 11.5523" Properties=species:S:1:pos:R:3 pbc="T T T"
Nd 8.2533 4.1686 1.4440
Nd 8.2533 9.1708 1.4440
Nd -1.1790 5.8360 7.2202
Nd 1.1790 -0.8337 4.3321
Nd 10.6114 0.0000 2.8881
Nd 1.1790 6.6697 2.8881
Nd 3.5371 0.0000 8.6642
Nd -5.8952 6.6697 8.6642
Nd 3.5371 7.5034 7.2202
Nd 5.8952 0.8337 4.3321
Nd -3.5371 -2.5011 10.1082
Nd -3.5371 2.5011 10.1082
Sb -1.1790 3.3349 2.8881
Sb -2.3581 6.6697 0.0000
Sb 0.0000 0.0000 0.0000
Sb 3.5371 2.5011 1.4440
Sb 4.7162 -3.3349 5.7761
Sb 4.7162 6.6697 0.0000
Sb -3.5371 7.5034 4.3321
Sb 5.8952 -4.1686 10.1082
Sb 5.8952 5.8360 4.3321
Sb 1.1790 -3.3349 8.6642
Sb 3.5371 10.0046 2.8881
Sb 2.3581 3.3349 5.7761
Sb 7.0743 0.0000 0.0000
Sb -2.3581 -3.3349 5.7761
Sb -1.1790 0.8337 7.2202
Sb -1.1790 10.8383 1.4440
Sb -4.7162 3.3349 5.7761
Sb 8.2533 -0.8337 7.2202
Sb 1.1790 4.1686 10.1082
Sb 5.8952 3.3349 8.6642
S 9.3100 1.4774 0.5685
S 0.1224 4.5658 4.7810
S 10.4099 2.9935 3.2400
S 6.0968 2.0257 1.5637
S 1.7105 5.1273 7.7438
S 9.8847 6.6828 1.9676
S -0.9775 7.6375 4.8037
S -3.7387 11.3137 1.5637
S 0.6476 8.2121 7.7438
S 6.6220 6.6566 1.9676
S 7.1967 3.5812 4.2125
S 7.1967 11.8621 0.5685
S -4.0685 5.9351 6.3446
S 2.8104 4.9591 0.9725
S -4.8386 9.7582 4.2125
S 2.4805 -2.1039 6.7713
S -0.6476 0.8078 2.5361
S 2.8104 8.3672 0.9952
S 6.0968 10.3459 3.2400
S -0.4523 4.9722 0.9952
S -3.0057 7.4775 9.0161
S 3.3356 5.7019 4.8037
S 6.4267 7.4043 6.3446
S 5.1685 -1.7106 10.5798
S 1.3806 0.9678 6.7486
S -1.7105 -0.7346 5.2077
S -0.4523 8.3803 0.9725
S -1.3806 -3.6762 8.3123
S 7.7219 -0.8078 2.5361
S 5.1685 1.6975 10.5571
S 1.9058 -1.6975 10.5571
S 2.2357 8.7736 4.7810
S 5.3638 5.8619 9.0161
S 9.5548 -3.0885 7.3398
S 8.7847 0.7346 5.2077
S -2.4805 -5.1924 10.9838
S 1.9058 1.7106 10.5798
S 4.0686 -1.5424 3.8085
S -1.9058 0.0131 9.5846
S -2.4805 3.0885 7.3398
S 8.4549 -4.6440 9.9886
S 5.6937 -0.9678 6.7486
S -1.3806 4.6440 9.9886
S -5.1685 -0.0131 9.5846
S 3.0057 1.5424 3.8085
S -5.6937 3.6762 8.3123
S 4.5938 2.1039 6.7713
S -4.5938 5.1923 10.9838
```

**Crystal system**: cubic

no.,total magnetic moment (Bohr magnetons per cell),ρ (g cm⁻³),total energy (eV/atom)
1,0.0,6.124,-3.929
2,0.0,11.480,-3.100
3,1.7,12.729,-8.117
4,0.0,7.456,-2.781
5,1.4,7.888,-4.265
6,0.0,10.133,-8.240
7,0.0,10.019,-6.794
8,0.0,6.145,-2.630
9,0.0,13.181,-4.783
10,0.0,15.823,-4.231
11,0.0,6.631,-4.829
12,0.0,4.345,-4.997